(1)
Crystalline TaAl2 at its relaxed geometry, computed with PBE.

```
data_TaAl2
_chemical_formula_sum 'Ta4 Al8'
_space_group_name_H-M_alt 'P n m a'
_space_group_IT_number 62
_cell_length_a 5.6956
_cell_length_b 3.8430
_cell_length_c 8.9209
_cell_angle_alpha 90.00
_cell_angle_beta 90.00
_cell_angle_gamma 90.00
loop_
_space_group_symop_operation_xyz
'x,y,z'
'-x,-y,-z'
'-x+1/2,-y,z+1/2'
'x+1/2,y,-z+1/2'
'x+1/2,-y+1/2,-z+1/2'
'-x+1/2,y+1/2,z+1/2'
'-x,y+1/2,-z'
'x,-y+1/2,z'
loop_
_atom_site_label
_atom_site_type_symbol
_atom_site_fract_x
_atom_site_fract_y
_atom_site_fract_z
Ta1 Ta 0.1217 0.2500 0.1033
Al1 Al 0.1214 0.2500 0.4309
Al2 Al 0.1436 0.2500 0.7641
```

(2)
Crystalline Ta2Al at its relaxed geometry, computed with PBE.

```
data_Ta2Al
_chemical_formula_sum 'Ta4 Al2'
_space_group_name_H-M_alt 'I 4/m m m'
_space_group_IT_number 139
_space_group_name_Hall '-I 4 2'
_cell_length_a 3.4413
_cell_length_b 3.4413
_cell_length_c 8.8775
_cell_angle_alpha 90.00
_cell_angle_beta 90.00
_cell_angle_gamma 90.00
loop_
_atom_site_label
_atom_site_type_symbol
_atom_site_fract_x
_atom_site_fract_y
_atom_site_fract_z
Ta1 Ta 0.0000 0.0000 0.1680
Al1 Al 0.0000 0.0000 0.5000
```

(3)
Crystalline TaAl at its relaxed geometry, computed with PBE.

```
data_TaAl
_chemical_formula_sum 'Ta2 Al2'
_space_group_name_H-M_alt 'P 63/m m c'
_space_group_IT_number 194
_space_group_name_Hall '-P 6c 2c'
_cell_length_a 4.0195
_cell_length_b 4.0195
_cell_length_c 5.3032
_cell_angle_alpha 90.00
_cell_angle_beta 90.00
_cell_angle_gamma 120.00
loop_
_atom_site_label
_atom_site_type_symbol
_atom_site_fract_x
_atom_site_fract_y
_atom_site_fract_z
Ta1 Ta 0.3333 0.6667 0.2500
Al1 Al 0.0000 0.0000 0.0000
```

(4)
Crystalline Ta2Al at its relaxed geometry, computed with PBE.

```
data_Ta2Al
_chemical_formula_sum 'Ta8 Al4'
_space_group_name_H-M_alt 'C m c m'
_space_group_IT_number 63
_space_group_name_Hall '-C 2c 2'
_cell_length_a 2.7345
_cell_length_b 15.7006
_cell_length_c 4.9863
_cell_angle_alpha 90.00
_cell_angle_beta 90.00
_cell_angle_gamma 90.00
loop_
_atom_site_label
_atom_site_type_symbol
_atom_site_fract_x
_atom_site_fract_y
_atom_site_fract_z
Ta1 Ta 0.0000 0.0492 0.2500
Ta2 Ta 0.0000 0.3770 0.2500
Al1 Al 0.0000 0.2845 0.7500
```

Total DFT energy (no corrections) per entry: -80.6, -55.6, -29.7, -109.2 eV/cell